# LiSmCl4

LiSmCl4 after structural relaxation (PBE, the Alexandria database).

abc: 7.4331 7.4331 7.4331
angles: 108.38 108.38 111.68
Sites, in units of the cell vectors:
Li1 0.3750 0.6250 0.7500
Li2 0.6250 0.3750 0.2500
Sm1 0.1250 0.8750 0.2500
Sm2 0.8750 0.1250 0.7500
Cl1 0.1767 0.2400 0.5632
Cl2 0.1767 0.6135 0.9368
Cl3 0.2400 0.1767 0.0632
Cl4 0.3865 0.8233 0.5632
Cl5 0.6135 0.1767 0.4368
Cl6 0.7600 0.8233 0.9368
Cl7 0.8233 0.3865 0.0632
Cl8 0.8233 0.7600 0.4368

E above lowest polymorph: 0.000 eV per atom
E_form (uncorrected): -2.094 eV per atom